Ta2CuW PBE-GGA optimized geometry; SG = C2/m, No. 12; calculated density = 15.420 g/cm³; size of the total moment = 0.00 μB/f.u.; energy = -40.04 eV/cell
1.0
5.2600 -0.0013 0.0008
-2.2323 4.7628 0.0008
0.4382 0.6892 2.6195
Cu Ta W
1 2 1
direct
0.0000 0.5000 0.5000
0.0000 0.0000 0.0000
0.5000 0.5000 0.0000
0.5000 0.0000 0.5000